{"formula": "MnCu2Pt", "functional": "meta-GGA SCAN", "state": "single point on PBEsol structure", "cell": [[2.693, 0.000, 0.000], [0.000, 4.444, 0.037], [-1.347, -0.887, 4.255]], "species": ["Mn", "Cu", "Cu", "Pt"], "frac_coords": [[0.500, 0.000, 0.000], [0.249, 0.243, 0.497], [0.751, 0.757, 0.503], [0.000, 0.500, 0.000]], "formation_enthalpy_0k_ev_per_atom": -0.30, "total_magnetization_mub_per_cell": 4.1, "volume_a3_per_cell": 51, "final_energy_ev_per_atom": -30.007}



{"formula": "MgPIO2", "functional": "meta-GGA SCAN", "state": "single point on PBEsol structure", "cell": [[3.896, 0.000, 0.000], [0.000, 3.896, 0.000], [0.000, 0.000, 5.687]], "species": ["I", "P", "Mg", "O", "O"], "frac_coords": [[0.500, 0.500, 0.500], [0.000, 0.000, 0.500], [0.000, 0.000, 0.000], [0.000, 0.500, 0.000], [0.500, 0.000, 0.000]], "formation_energy_uncorrected_kj_per_mol_atoms": -24, "total_magnetization_mub_per_cell": 2.4, "e_above_lowest_polymorph_ev_per_atom": 0.0000, "volume_a3_per_cell": 86, "final_energy_ev_per_atom": -13.163}



{"formula": "TiSn9O20", "functional": "meta-GGA SCAN", "state": "single point on PBEsol structure", "cell": [[6.721, 0.000, 0.000], [0.000, 7.444, 0.012], [-3.361, -0.313, 7.209]], "species": ["Ti", "Sn", "Sn", "Sn", "Sn", "Sn", "Sn", "Sn", "Sn", "Sn", "O", "O", "O", "O", "O", "O", "O", "O", "O", "O", "O", "O", "O", "O", "O", "O", "O", "O", "O", "O"], "frac_coords": [[0.000, 0.000, 0.000], [0.000, 0.500, 0.000], [0.803, 0.801, 0.605], [0.601, 0.598, 0.202], [0.401, 0.903, 0.803], [0.801, 0.298, 0.601], [0.199, 0.702, 0.399], [0.599, 0.097, 0.197], [0.399, 0.402, 0.798], [0.197, 0.199, 0.395], [0.298, 0.000, 0.000], [0.295, 0.595, 0.202], [0.702, 0.000, 0.000], [0.662, 0.854, 0.324], [0.944, 0.754, 0.888], [0.132, 0.943, 0.264], [0.740, 0.545, 0.480], [0.538, 0.343, 0.076], [0.907, 0.595, 0.202], [0.106, 0.803, 0.601], [0.506, 0.197, 0.399], [0.093, 0.405, 0.798], [0.494, 0.803, 0.601], [0.894, 0.197, 0.399], [0.462, 0.657, 0.924], [0.868, 0.057, 0.736], [0.260, 0.455, 0.520], [0.056, 0.246, 0.112], [0.338, 0.146, 0.676], [0.705, 0.405, 0.798]], "formation_energy_uncorrected_kj_per_mol_atoms": -188, "total_magnetization_mub_per_cell": 0.0, "volume_a3_per_cell": 361, "final_energy_ev_per_atom": -17.416}



{"formula": "ZrSc2Si", "functional": "meta-GGA SCAN", "state": "single point on PBEsol structure", "cell": [[3.095, 0.000, 0.000], [1.547, 2.680, 0.000], [1.547, 0.893, 9.997]], "species": ["Sc", "Sc", "Si", "Zr"], "frac_coords": [[0.902, 0.902, 0.295], [0.098, 0.098, 0.705], [0.500, 0.500, 0.500], [0.000, 0.000, 0.000]], "formation_energy_uncorrected_kj_per_mol_atoms": 6, "total_magnetization_mub_per_cell": 0.0, "volume_a3_per_cell": 83, "final_energy_ev_per_atom": -17.238}



{"formula": "TcNiOs", "functional": "meta-GGA SCAN", "state": "single point on PBEsol structure", "cell": [[2.656, 0.000, 0.000], [0.000, 3.731, 0.000], [-1.328, -1.865, 3.890]], "species": ["Ni", "Os", "Tc"], "frac_coords": [[0.001, 0.001, 0.001], [0.665, 0.665, 0.331], [0.334, 0.334, 0.668]], "formation_enthalpy_0k_ev_per_atom": 0.01, "total_magnetization_mub_per_cell": 0.0, "e_above_lowest_polymorph_ev_per_atom": 0.0000, "volume_a3_per_cell": 39, "final_energy_ev_per_atom": -41.029}



{"formula": "Ba2MoO3F4", "functional": "meta-GGA SCAN", "state": "single point on PBEsol structure", "cell": [[-4.784, 4.884, -2.163], [-4.094, -1.702, -5.885], [-2.326, -5.051, 4.833]], "species": ["Ba", "Ba", "Ba", "Ba", "Mo", "Mo", "O", "O", "O", "O", "O", "O", "F", "F", "F", "F", "F", "F", "F", "F"], "frac_coords": [[0.178, 0.324, 0.441], [0.678, 0.559, 0.676], [0.000, 0.971, 0.673], [0.500, 0.327, 0.029], [0.120, 0.860, 0.208], [0.620, 0.792, 0.140], [0.999, 0.094, 0.091], [0.499, 0.909, 0.906], [0.284, 0.907, 0.458], [0.784, 0.542, 0.093], [0.381, 0.750, 0.127], [0.881, 0.873, 0.250], [0.301, 0.594, 0.709], [0.801, 0.291, 0.406], [0.786, 0.711, 0.454], [0.286, 0.546, 0.289], [0.485, 0.073, 0.262], [0.985, 0.738, 0.927], [0.120, 0.294, 0.777], [0.620, 0.223, 0.706]], "formation_energy_uncorrected_kj_per_mol_atoms": -321, "total_magnetization_mub_per_cell": 0.0, "volume_a3_per_cell": 309, "final_energy_ev_per_atom": -18.008}



{"formula": "CaZn", "functional": "meta-GGA SCAN", "state": "single point on PBEsol structure", "cell": [[4.106, -0.001, -0.002], [2.052, 5.420, -0.009], [2.049, 0.995, 6.739]], "species": ["Zn", "Zn", "Zn", "Ca", "Ca", "Ca"], "frac_coords": [[0.262, 0.142, 0.334], [0.996, 0.359, 0.647], [0.325, 0.479, 0.871], [0.957, 0.048, 0.038], [0.724, 0.913, 0.639], [0.569, 0.559, 0.303]], "formation_enthalpy_0k_ev_per_atom": -0.20, "total_magnetization_mub_per_cell": 0.0, "volume_a3_per_cell": 150, "final_energy_ev_per_atom": -11.785}



{"formula": "Sr3Al", "functional": "meta-GGA SCAN", "state": "single point on PBEsol structure", "cell": [[-2.403, -0.582, -3.114], [3.060, -1.436, -2.093], [-2.105, -9.419, 3.384]], "species": ["Sr", "Sr", "Sr", "Al"], "frac_coords": [[0.500, 0.500, 0.816], [0.000, 0.000, 0.500], [0.500, 0.500, 0.184], [0.000, 0.000, 0.000]], "formation_enthalpy_0k_ev_per_atom": -0.04, "total_magnetization_mub_per_cell": 0.1, "volume_a3_per_cell": 162, "final_energy_ev_per_atom": -18.686}